Record 1
VASP calculation (PBE) on crystalline In2SnCl4 at its relaxed geometry.

* formation energy (no corrections): -881.4 meV/atom
* excess energy over the best structure of this formula in the dataset: 0.006 eV/atom

Cell: 16.5243 4.2435 6.8882 Å, 90.00 107.49 90.00°
With the nearest neighbours (Å) after each atom.
Fractional coordinates of all 14 atoms:
In (0.2270, 0.0000, 0.1874)  4 Cl 2.91-3.20
In (0.2730, 0.5000, 0.8126)  4 Cl 2.91-3.20
In (0.7270, 0.5000, 0.1874)  4 Cl 2.91-3.20
In (0.7730, 0.0000, 0.8126)  4 Cl 2.91-3.20
Sn (0.0000, 0.5000, 0.5000)  6 Cl 2.87-2.90
Sn (0.5000, 0.0000, 0.5000)  6 Cl 2.87-2.90
Cl (0.0805, 0.0000, 0.7693)  2 Sn 2.87, 1 In 3.16
Cl (0.1478, 0.5000, 0.3563)  1 Sn 2.90, 3 In 2.91-3.20
Cl (0.3522, 0.0000, 0.6437)  1 Sn 2.90, 3 In 2.91-3.20
Cl (0.4195, 0.5000, 0.2307)  2 Sn 2.87, 1 In 3.16
Cl (0.5805, 0.5000, 0.7693)  2 Sn 2.87, 1 In 3.16
Cl (0.6478, 0.0000, 0.3563)  1 Sn 2.90, 3 In 2.91-3.20
Cl (0.8522, 0.5000, 0.6437)  1 Sn 2.90, 3 In 2.91-3.20
Cl (0.9195, 0.0000, 0.2307)  2 Sn 2.87, 1 In 3.16

=====

Record 2
VASP calculation (PBE) on crystalline Dy4CSe2 at its relaxed geometry.

* formation energy (no corrections): -811.5 meV/atom
* excess energy over the best structure of this formula in the dataset: 0.301 eV/atom

Cell: 4.8900 4.8900 14.1463 Å, 90.00 90.00 90.00°
With the nearest neighbours (Å) after each atom.
Fractional coordinates of all 14 atoms:
Dy (0.0000, 0.0000, 0.1721)  1 C 2.43
Dy (0.0000, 0.0000, 0.8279)  1 C 2.43
Dy (0.0000, 0.5000, 0.0000)  2 C 2.44
Dy (0.0000, 0.5000, 0.5000)  2 C 2.44
Dy (0.5000, 0.0000, 0.0000)  2 C 2.44
Dy (0.5000, 0.0000, 0.5000)  2 C 2.44
Dy (0.5000, 0.5000, 0.3279)  1 C 2.43
Dy (0.5000, 0.5000, 0.6721)  1 C 2.43
C (0.0000, 0.0000, 0.0000)  6 Dy 2.43-2.44
C (0.5000, 0.5000, 0.5000)  6 Dy 2.43-2.44
Se (0.0000, 0.0000, 0.3736)  5 Dy 2.85-3.03
Se (0.0000, 0.0000, 0.6264)  5 Dy 2.85-3.03
Se (0.5000, 0.5000, 0.1264)  5 Dy 2.85-3.03
Se (0.5000, 0.5000, 0.8736)  5 Dy 2.85-3.03

=====

Record 3
VASP calculation (PBE) on crystalline La5Ga2Pb2 at its relaxed geometry.

* DFT formation energy: -0.55 eV per atom

Cell: 9.2902 9.2902 8.3501 Å, 90.00 90.00 53.87°
With the nearest neighbours (Å) after each atom.
Fractional coordinates of all 18 atoms:
La (0.0000, 0.0000, 0.0000)  4 Ga 3.35-3.39, 2 Pb 3.50
La (0.0457, 0.6862, 0.6740)  3 Pb 3.31-3.37, 3 Ga 3.33-3.36
La (0.1862, 0.5457, 0.1740)  3 Pb 3.31-3.37, 3 Ga 3.33-3.36
La (0.3138, 0.9543, 0.6740)  3 Pb 3.31-3.37, 3 Ga 3.33-3.36
La (0.4543, 0.8138, 0.1740)  3 Pb 3.31-3.37, 3 Ga 3.33-3.36
La (0.5000, 0.5000, 0.5000)  4 Ga 3.35-3.39, 2 Pb 3.50
La (0.5457, 0.1862, 0.8260)  3 Pb 3.31-3.37, 3 Ga 3.33-3.36
La (0.6862, 0.0457, 0.3260)  3 Pb 3.31-3.37, 3 Ga 3.33-3.36
La (0.8138, 0.4543, 0.8260)  3 Pb 3.31-3.37, 3 Ga 3.33-3.36
La (0.9543, 0.3138, 0.3260)  3 Pb 3.31-3.37, 3 Ga 3.33-3.36
Ga (0.1133, 0.8867, 0.3850)  1 Ga 2.71
Ga (0.3867, 0.6133, 0.8850)  1 Ga 2.71
Ga (0.6133, 0.3867, 0.1150)  1 Ga 2.71
Ga (0.8867, 0.1133, 0.6150)  1 Ga 2.71
Pb (0.2110, 0.2110, 0.0000)  7 La 3.31-3.50
Pb (0.2890, 0.2890, 0.5000)  7 La 3.31-3.50
Pb (0.7110, 0.7110, 0.5000)  7 La 3.31-3.50
Pb (0.7890, 0.7890, 0.0000)  7 La 3.31-3.50

=====

Record 4
VASP calculation (PBE) on crystalline PmPbAu3 at its relaxed geometry.

* DFT formation energy: -0.49 eV per atom

Cell: 14.1802 14.1802 4.7285 Å, 90.00 90.00 165.60°
With the nearest neighbours (Å) after each atom.
Fractional coordinates of all 10 atoms:
Pm (0.0740, 0.9260, 0.7500)  12 Au 3.25-3.36, 2 Pm 3.55
Pm (0.9260, 0.0740, 0.2500)  12 Au 3.25-3.36, 2 Pm 3.55
Pb (0.2127, 0.7873, 0.2500)  7 Au 3.12-3.15
Pb (0.7873, 0.2127, 0.7500)  7 Au 3.12-3.15
Au (0.3246, 0.6754, 0.2500)  2 Au 2.81, 4 Pb 3.14
Au (0.3785, 0.6215, 0.7500)  3 Au 2.73-2.81
Au (0.4756, 0.5244, 0.7500)  3 Au 2.73-2.74
Au (0.5244, 0.4756, 0.2500)  3 Au 2.73-2.74
Au (0.6215, 0.3785, 0.2500)  3 Au 2.73-2.81
Au (0.6754, 0.3246, 0.7500)  2 Au 2.81, 4 Pb 3.14

=====

Record 5
VASP calculation (PBE) on crystalline AlPdO2 at its relaxed geometry.

* formation energy (no corrections): -1593.3 meV/atom

Cell: 6.6977 7.4018 5.1667 Å, 90.00 113.26 90.00°
With the nearest neighbours (Å) after each atom.
Fractional coordinates of all 16 atoms:
Al (0.0000, 0.0185, 0.2500)  4 O 1.79
Al (0.0000, 0.9815, 0.7500)  4 O 1.79
Al (0.5000, 0.4815, 0.7500)  4 O 1.79
Al (0.5000, 0.5185, 0.2500)  4 O 1.79
Pd (0.0000, 0.4258, 0.2500)  2 O 2.04
Pd (0.0000, 0.5742, 0.7500)  2 O 2.04
Pd (0.5000, 0.0742, 0.7500)  2 O 2.04
Pd (0.5000, 0.9258, 0.2500)  2 O 2.04
O (0.1697, 0.0883, 0.6009)  2 Al 1.79
O (0.1697, 0.9117, 0.1009)  2 Al 1.79
O (0.3303, 0.4117, 0.3991)  2 Al 1.79
O (0.3303, 0.5883, 0.8991)  2 Al 1.79
O (0.6697, 0.4117, 0.1009)  2 Al 1.79
O (0.6697, 0.5883, 0.6009)  2 Al 1.79
O (0.8303, 0.0883, 0.8991)  2 Al 1.79
O (0.8303, 0.9117, 0.3991)  2 Al 1.79

=====

Record 6
VASP calculation (PBE) on crystalline NiRuAu3 at its relaxed geometry.

* DFT formation energy: 1.57 eV per atom
* excess energy over the best structure of this formula in the dataset: 0.364 eV/atom

Cell: 4.9688 4.9688 4.9688 Å, 90.00 90.00 90.00°
With the nearest neighbours (Å) after each atom.
Fractional coordinates of all 5 atoms:
Ni (0.0000, 0.0000, 0.0000)  12 Au 3.51
Ru (0.5000, 0.5000, 0.5000)  6 Au 2.48
Au (0.0000, 0.5000, 0.5000)  2 Ru 2.48
Au (0.5000, 0.0000, 0.5000)  2 Ru 2.48
Au (0.5000, 0.5000, 0.0000)  2 Ru 2.48

=====

Record 7
VASP calculation (PBE) on crystalline AcIn4Cu4 at its relaxed geometry.

* DFT formation energy: -0.03 eV per atom
* excess energy over the best structure of this formula in the dataset: 0.105 eV/atom

Cell: 8.8690 8.8690 5.2049 Å, 90.00 90.00 90.00°
With the nearest neighbours (Å) after each atom.
Fractional coordinates of all 18 atoms:
Ac (0.2500, 0.2500, 0.2500)  4 Cu 3.31, 4 In 3.62
Ac (0.7500, 0.7500, 0.7500)  4 Cu 3.31, 4 In 3.62
In (0.1115, 0.6288, 0.1489)  5 Cu 2.65-2.82
In (0.1288, 0.8885, 0.6489)  5 Cu 2.65-2.82
In (0.3712, 0.6115, 0.6489)  5 Cu 2.65-2.82
In (0.3885, 0.8712, 0.1489)  5 Cu 2.65-2.82
In (0.6115, 0.1288, 0.8511)  5 Cu 2.65-2.82
In (0.6288, 0.3885, 0.3511)  5 Cu 2.65-2.82
In (0.8712, 0.1115, 0.3511)  5 Cu 2.65-2.82
In (0.8885, 0.3712, 0.8511)  5 Cu 2.65-2.82
Cu (0.0748, 0.5751, 0.6496)  1 Cu 2.44, 4 In 2.65-2.67
Cu (0.0751, 0.9252, 0.1496)  1 Cu 2.44, 4 In 2.65-2.67
Cu (0.4249, 0.5748, 0.1496)  1 Cu 2.44, 4 In 2.65-2.67
Cu (0.4252, 0.9249, 0.6496)  1 Cu 2.44, 4 In 2.65-2.67
Cu (0.5748, 0.0751, 0.3504)  1 Cu 2.44, 4 In 2.65-2.67
Cu (0.5751, 0.4252, 0.8504)  1 Cu 2.44, 4 In 2.65-2.67
Cu (0.9249, 0.0748, 0.8504)  1 Cu 2.44, 4 In 2.65-2.67
Cu (0.9252, 0.4249, 0.3504)  1 Cu 2.44, 4 In 2.65-2.67

=====

Record 8
VASP calculation (PBE) on crystalline Pr2MgHg3 at its relaxed geometry.

* DFT formation energy: -0.46 eV per atom
* excess energy over the best structure of this formula in the dataset: 0.000 eV/atom

Cell: 5.2419 5.2419 13.3673 Å, 90.00 90.00 120.00°
With the nearest neighbours (Å) after each atom.
Fractional coordinates of all 12 atoms:
Pr (0.0000, 0.0000, 0.0000)  8 Hg 3.26-3.44
Pr (0.0000, 0.0000, 0.5000)  8 Hg 3.21-3.24
Pr (0.3333, 0.6667, 0.1855)  7 Hg 3.15-3.28
Pr (0.6667, 0.3333, 0.8145)  7 Hg 3.15-3.28
Mg (0.3333, 0.6667, 0.6608)  8 Hg 3.21-3.32
Mg (0.6667, 0.3333, 0.3392)  8 Hg 3.21-3.32
Hg (0.0000, 0.0000, 0.2575)  5 Pr 3.18-3.44, 3 Mg 3.22
Hg (0.0000, 0.0000, 0.7425)  5 Pr 3.18-3.44, 3 Mg 3.22
Hg (0.3333, 0.6667, 0.4209)  4 Pr 3.15-3.21, 4 Mg 3.21-3.22
Hg (0.3333, 0.6667, 0.9088)  6 Pr 3.26-3.28, 1 Mg 3.32
Hg (0.6667, 0.3333, 0.0912)  6 Pr 3.26-3.28, 1 Mg 3.32
Hg (0.6667, 0.3333, 0.5791)  4 Pr 3.15-3.21, 4 Mg 3.21-3.22

=====

Q: What is the formula in the fifth record?
A: AlPdO2

=====

Please write out number 1 again, unchanged.
VASP calculation (PBE) on crystalline In2SnCl4 at its relaxed geometry.

* formation energy (no corrections): -881.4 meV/atom
* excess energy over the best structure of this formula in the dataset: 0.006 eV/atom

Cell: 16.5243 4.2435 6.8882 Å, 90.00 107.49 90.00°
With the nearest neighbours (Å) after each atom.
Fractional coordinates of all 14 atoms:
In (0.2270, 0.0000, 0.1874)  4 Cl 2.91-3.20
In (0.2730, 0.5000, 0.8126)  4 Cl 2.91-3.20
In (0.7270, 0.5000, 0.1874)  4 Cl 2.91-3.20
In (0.7730, 0.0000, 0.8126)  4 Cl 2.91-3.20
Sn (0.0000, 0.5000, 0.5000)  6 Cl 2.87-2.90
Sn (0.5000, 0.0000, 0.5000)  6 Cl 2.87-2.90
Cl (0.0805, 0.0000, 0.7693)  2 Sn 2.87, 1 In 3.16
Cl (0.1478, 0.5000, 0.3563)  1 Sn 2.90, 3 In 2.91-3.20
Cl (0.3522, 0.0000, 0.6437)  1 Sn 2.90, 3 In 2.91-3.20
Cl (0.4195, 0.5000, 0.2307)  2 Sn 2.87, 1 In 3.16
Cl (0.5805, 0.5000, 0.7693)  2 Sn 2.87, 1 In 3.16
Cl (0.6478, 0.0000, 0.3563)  1 Sn 2.90, 3 In 2.91-3.20
Cl (0.8522, 0.5000, 0.6437)  1 Sn 2.90, 3 In 2.91-3.20
Cl (0.9195, 0.0000, 0.2307)  2 Sn 2.87, 1 In 3.16

=====

Please write out number 3 again, unchanged.
VASP calculation (PBE) on crystalline La5Ga2Pb2 at its relaxed geometry.

* DFT formation energy: -0.55 eV per atom

Cell: 9.2902 9.2902 8.3501 Å, 90.00 90.00 53.87°
With the nearest neighbours (Å) after each atom.
Fractional coordinates of all 18 atoms:
La (0.0000, 0.0000, 0.0000)  4 Ga 3.35-3.39, 2 Pb 3.50
La (0.0457, 0.6862, 0.6740)  3 Pb 3.31-3.37, 3 Ga 3.33-3.36
La (0.1862, 0.5457, 0.1740)  3 Pb 3.31-3.37, 3 Ga 3.33-3.36
La (0.3138, 0.9543, 0.6740)  3 Pb 3.31-3.37, 3 Ga 3.33-3.36
La (0.4543, 0.8138, 0.1740)  3 Pb 3.31-3.37, 3 Ga 3.33-3.36
La (0.5000, 0.5000, 0.5000)  4 Ga 3.35-3.39, 2 Pb 3.50
La (0.5457, 0.1862, 0.8260)  3 Pb 3.31-3.37, 3 Ga 3.33-3.36
La (0.6862, 0.0457, 0.3260)  3 Pb 3.31-3.37, 3 Ga 3.33-3.36
La (0.8138, 0.4543, 0.8260)  3 Pb 3.31-3.37, 3 Ga 3.33-3.36
La (0.9543, 0.3138, 0.3260)  3 Pb 3.31-3.37, 3 Ga 3.33-3.36
Ga (0.1133, 0.8867, 0.3850)  1 Ga 2.71
Ga (0.3867, 0.6133, 0.8850)  1 Ga 2.71
Ga (0.6133, 0.3867, 0.1150)  1 Ga 2.71
Ga (0.8867, 0.1133, 0.6150)  1 Ga 2.71
Pb (0.2110, 0.2110, 0.0000)  7 La 3.31-3.50
Pb (0.2890, 0.2890, 0.5000)  7 La 3.31-3.50
Pb (0.7110, 0.7110, 0.5000)  7 La 3.31-3.50
Pb (0.7890, 0.7890, 0.0000)  7 La 3.31-3.50